1.
# TeP2Br, PBEsol geometry, DFT SCAN
# ΔE_f (raw), eV per atom: 0.9488
# VASP energy, eV per atom: -18.43
# Crystal system: tetragonal
# Calculated volume, A^3/atom: 19.63
data_TeP2Br
_symmetry_space_group_name_H-M 'P 4/m m m'
_symmetry_Int_Tables_number 123
_symmetry_space_group_name_Hall '-P 4 2'
_cell_length_a 4.790
_cell_length_b 4.790
_cell_length_c 3.422
_cell_angle_alpha 90.00
_cell_angle_beta 90.00
_cell_angle_gamma 90.00
loop_
_atom_site_label
_atom_site_type_symbol
_atom_site_fract_x
_atom_site_fract_y
_atom_site_fract_z
Te1 Te 0.000 0.000 0.000
P1 P 0.000 0.500 0.500
Br1 Br 0.500 0.500 0.000

=====

2.
# TePBr4, PBEsol geometry, DFT SCAN
# ΔE_f (raw), eV per atom: 1.0997
# VASP energy, eV per atom: -19.81
# Crystal system: cubic
# Calculated volume, A^3/atom: 25.46
data_TePBr4
_symmetry_space_group_name_H-M 'F -4 3 m'
_symmetry_Int_Tables_number 216
_symmetry_space_group_name_Hall 'F -4 2 3'
_cell_length_a 8.486
_cell_length_b 8.486
_cell_length_c 8.486
_cell_angle_alpha 90.00
_cell_angle_beta 90.00
_cell_angle_gamma 90.00
loop_
_atom_site_label
_atom_site_type_symbol
_atom_site_fract_x
_atom_site_fract_y
_atom_site_fract_z
Te1 Te 0.000 0.000 0.000
P1 P 0.250 0.250 0.250
Br1 Br 0.125 0.125 0.625

=====

Which of these has the highest VASP energy? TeP2Br

=====

Which of these has the highest calculated volume? TePBr4

=====

What is the ΔE_f (raw) in the second record? 1.0997 eV per atom

=====

Which formula does entry 1 have? TeP2Br